Here is a geometry-optimized Nd5Ho3Tm4 structure from the Alexandria database. Energies are from PBE-GGA.

The structure in POSCAR format:
```
Nd5Ho3Tm4
1.0
4.870 -2.900 0.000
4.870 2.900 0.000
-4.827 0.000 14.130
Nd Ho Tm
5 3 4
direct
0.000 0.000 0.000
0.332 0.332 0.501
0.455 0.455 0.754
0.545 0.545 0.246
0.668 0.668 0.499
0.205 0.205 0.249
0.500 0.500 0.000
0.795 0.795 0.751
0.061 0.061 0.624
0.176 0.176 0.855
0.824 0.824 0.145
0.939 0.939 0.376
```

Results
**Total magnetization**: 0.00 μB/atom
**D(E_F)**: 19.446 states/eV/cell
**Crystal system**: monoclinic
**Space group**: C2/m, No. 12
**Calculated formation energy**: 2.81 eV per formula unit

***

Here is a geometry-optimized PrScIr structure from the Alexandria database. Energies are from PBE-GGA.

The structure in POSCAR format:
```
PrScIr
1.0
-1.669 1.669 6.440
1.669 -1.669 6.440
1.669 1.669 -6.440
Pr Sc Ir
1 1 1
direct
0.000 0.000 0.000
0.266 0.266 0.000
0.659 0.659 0.000
```

Results
**Total magnetization**: 0.00 μB/atom
**D(E_F)**: 4.055 states/eV/cell
**Crystal system**: tetragonal
**Space group**: I4mm, No. 107
**Distance to the lowest polymorph of the same formula**: 56 kJ/mol of formula units
**Calculated formation energy**: -1.43 eV per formula unit

***

Here is a geometry-optimized La2Cu7 structure from the Alexandria database. Energies are from PBE-GGA.

The structure in POSCAR format:
```
La2Cu7
1.0
2.636 1.522 12.604
-2.636 1.522 12.604
0.000 -3.044 12.604
La Cu
4 14
direct
0.051 0.051 0.051
0.150 0.150 0.150
0.850 0.850 0.850
0.949 0.949 0.949
0.000 0.500 0.500
0.111 0.606 0.606
0.279 0.279 0.279
0.387 0.387 0.387
0.394 0.394 0.889
0.394 0.889 0.394
0.500 0.000 0.500
0.500 0.500 0.000
0.500 0.500 0.500
0.606 0.111 0.606
0.606 0.606 0.111
0.613 0.613 0.613
0.721 0.721 0.721
0.889 0.394 0.394
```

Results
**Total magnetization**: 0.00 μB/atom
**D(E_F)**: 14.277 states/eV/cell
**Crystal system**: trigonal
**Space group**: R-3m, No. 166
**Calculated formation energy**: -1.21 eV per formula unit

***

Here is a geometry-optimized AsIrO2 structure from the Alexandria database. Energies are from PBE-GGA.

The structure in POSCAR format:
```
AsIrO2
1.0
1.467 0.847 6.654
-1.467 0.847 6.654
0.000 -1.694 6.654
As Ir O
1 1 2
direct
0.000 0.000 0.000
0.500 0.500 0.500
0.399 0.399 0.399
0.601 0.601 0.601
```

Results
**Total magnetization**: 0.00 μB/atom
**Raw formation energy**: -168 meV/atom
**D(E_F)**: 2.986 states/eV/cell
**Crystal system**: trigonal
**Space group**: R-3m, No. 166